# 1
# Pm4Ni2Ir GGA-PBE relaxed
data_Pm4Ni2Ir
_symmetry_space_group_name_H-M 'I m m a'
_symmetry_Int_Tables_number 74
_symmetry_space_group_name_Hall '-I 2b 2'
_cell_length_a 8.9215
_cell_length_b 8.9254
_cell_length_c 8.9671
_cell_angle_alpha 90.00
_cell_angle_beta 90.00
_cell_angle_gamma 90.00
loop_
_atom_site_label
_atom_site_type_symbol
_atom_site_fract_x
_atom_site_fract_y
_atom_site_fract_z
_atom_site_occupancy
Pm1 Pm 0.0000 0.0571 0.1955 1
Pm2 Pm 0.1930 0.2500 0.5546 1
Ni1 Ni 0.0000 0.0000 0.5000 1
Ni2 Ni 0.2500 0.2500 0.2500 1
Ir1 Ir 0.0000 0.2500 0.8747 1
# energy of formation: -0.316 eV/atom


# 2
# BaPb2W GGA-PBE relaxed
data_BaPb2W
_symmetry_space_group_name_H-M 'P 4 m m'
_symmetry_Int_Tables_number 99
_symmetry_space_group_name_Hall 'P 4 -2'
_cell_length_a 3.7870
_cell_length_b 3.7870
_cell_length_c 8.3757
_cell_angle_alpha 90.00
_cell_angle_beta 90.00
_cell_angle_gamma 90.00
loop_
_atom_site_label
_atom_site_type_symbol
_atom_site_fract_x
_atom_site_fract_y
_atom_site_fract_z
_atom_site_occupancy
Ba1 Ba 0.0000 0.0000 0.0000 1
Pb1 Pb 0.0000 0.0000 0.5820 1
Pb2 Pb 0.5000 0.5000 0.3271 1
W1 W 0.5000 0.5000 0.6897 1
# energy of formation: 0.677 eV/atom


# 3
# V5NiPd4 GGA-PBE relaxed
data_V5NiPd4
_symmetry_space_group_name_H-M 'P 4/m m m'
_symmetry_Int_Tables_number 123
_symmetry_space_group_name_Hall '-P 4 2'
_cell_length_a 2.6718
_cell_length_b 2.6718
_cell_length_c 19.3361
_cell_angle_alpha 90.00
_cell_angle_beta 90.00
_cell_angle_gamma 90.00
loop_
_atom_site_label
_atom_site_type_symbol
_atom_site_fract_x
_atom_site_fract_y
_atom_site_fract_z
_atom_site_occupancy
V1 V 0.0000 0.0000 0.0000 1
V2 V 0.0000 0.0000 0.2044 1
V3 V 0.0000 0.0000 0.4092 1
Ni1 Ni 0.5000 0.5000 0.5000 1
Pd1 Pd 0.5000 0.5000 0.1021 1
Pd2 Pd 0.5000 0.5000 0.3058 1
# energy of formation: -0.181 eV/atom


# 4
# Ca2WSe GGA-PBE relaxed
data_Ca2WSe
_symmetry_space_group_name_H-M 'F -4 3 m'
_symmetry_Int_Tables_number 216
_symmetry_space_group_name_Hall 'F -4 2 3'
_cell_length_a 7.1097
_cell_length_b 7.1097
_cell_length_c 7.1097
_cell_angle_alpha 90.00
_cell_angle_beta 90.00
_cell_angle_gamma 90.00
loop_
_atom_site_label
_atom_site_type_symbol
_atom_site_fract_x
_atom_site_fract_y
_atom_site_fract_z
_atom_site_occupancy
Ca1 Ca 0.0000 0.0000 0.0000 1
Ca2 Ca 0.2500 0.2500 0.2500 1
W1 W 0.0000 0.0000 0.5000 1
Se1 Se 0.2500 0.2500 0.7500 1
# raw formation energy: 2.5 eV per formula unit


# 5
# ZrTeOs3 GGA-PBE relaxed
data_ZrTeOs3
_symmetry_space_group_name_H-M 'P m -3 m'
_symmetry_Int_Tables_number 221
_symmetry_space_group_name_Hall '-P 4 2 3'
_cell_length_a 4.7651
_cell_length_b 4.7651
_cell_length_c 4.7651
_cell_angle_alpha 90.00
_cell_angle_beta 90.00
_cell_angle_gamma 90.00
loop_
_atom_site_label
_atom_site_type_symbol
_atom_site_fract_x
_atom_site_fract_y
_atom_site_fract_z
_atom_site_occupancy
Zr1 Zr 0.0000 0.0000 0.0000 1
Te1 Te 0.5000 0.5000 0.5000 1
Os1 Os 0.0000 0.5000 0.5000 1
# raw formation energy: 9.2 eV per formula unit


# 6
# Ca3Mg4Pd4 GGA-PBE relaxed
data_Ca3Mg4Pd4
_symmetry_space_group_name_H-M 'I m m m'
_symmetry_Int_Tables_number 71
_symmetry_space_group_name_Hall '-I 2 2'
_cell_length_a 4.2244
_cell_length_b 7.8887
_cell_length_c 14.5562
_cell_angle_alpha 90.00
_cell_angle_beta 90.00
_cell_angle_gamma 90.00
loop_
_atom_site_label
_atom_site_type_symbol
_atom_site_fract_x
_atom_site_fract_y
_atom_site_fract_z
_atom_site_occupancy
Ca1 Ca 0.0000 0.0000 0.0000 1
Ca2 Ca 0.0000 0.5000 0.1166 1
Mg1 Mg 0.0000 0.3059 0.3272 1
Pd1 Pd 0.0000 0.0000 0.2268 1
Pd2 Pd 0.0000 0.1802 0.5000 1
# energy of formation: -0.592 eV/atom


# 7
# Ta2HgSe GGA-PBE relaxed
data_Ta2HgSe
_symmetry_space_group_name_H-M 'C 1 2/m 1'
_symmetry_Int_Tables_number 12
_symmetry_space_group_name_Hall '-C 2y'
_cell_length_a 9.5467
_cell_length_b 3.1543
_cell_length_c 5.3302
_cell_angle_alpha 90.00
_cell_angle_beta 108.70
_cell_angle_gamma 90.00
loop_
_atom_site_label
_atom_site_type_symbol
_atom_site_fract_x
_atom_site_fract_y
_atom_site_fract_z
_atom_site_occupancy
Ta1 Ta 0.2314 0.0000 0.2268 1
Hg1 Hg 0.0000 0.0000 0.5000 1
Se1 Se 0.0000 0.5000 0.0000 1
# raw formation energy: 1.2 eV per formula unit


# 8
# SrW2Cl GGA-PBE relaxed
data_SrW2Cl
_symmetry_space_group_name_H-M 'P 4/m m m'
_symmetry_Int_Tables_number 123
_symmetry_space_group_name_Hall '-P 4 2'
_cell_length_a 3.5491
_cell_length_b 3.5491
_cell_length_c 7.0644
_cell_angle_alpha 90.00
_cell_angle_beta 90.00
_cell_angle_gamma 90.00
loop_
_atom_site_label
_atom_site_type_symbol
_atom_site_fract_x
_atom_site_fract_y
_atom_site_fract_z
_atom_site_occupancy
Sr1 Sr 0.0000 0.0000 0.0000 1
W1 W 0.5000 0.5000 0.3330 1
Cl1 Cl 0.0000 0.0000 0.5000 1
# raw formation energy: 6.2 eV per formula unit


# 9
# ScAg2 GGA-PBE relaxed
data_ScAg2
_symmetry_space_group_name_H-M 'P -3 m 1'
_symmetry_Int_Tables_number 164
_symmetry_space_group_name_Hall '-P 3 2"'
_cell_length_a 4.7764
_cell_length_b 4.7764
_cell_length_c 5.8702
_cell_angle_alpha 90.00
_cell_angle_beta 90.00
_cell_angle_gamma 120.00
loop_
_atom_site_label
_atom_site_type_symbol
_atom_site_fract_x
_atom_site_fract_y
_atom_site_fract_z
_atom_site_occupancy
Sc1 Sc 0.3333 0.6667 0.2023 1
Ag1 Ag 0.0000 0.0000 0.0000 1
Ag2 Ag 0.0000 0.0000 0.5000 1
Ag3 Ag 0.3333 0.6667 0.7056 1
# energy of formation: -0.194 eV/atom


# 10
# Dy2ScIn GGA-PBE relaxed
data_Dy2ScIn
_symmetry_space_group_name_H-M 'F -4 3 m'
_symmetry_Int_Tables_number 216
_symmetry_space_group_name_Hall 'F -4 2 3'
_cell_length_a 7.5201
_cell_length_b 7.5201
_cell_length_c 7.5201
_cell_angle_alpha 90.00
_cell_angle_beta 90.00
_cell_angle_gamma 90.00
loop_
_atom_site_label
_atom_site_type_symbol
_atom_site_fract_x
_atom_site_fract_y
_atom_site_fract_z
_atom_site_occupancy
Dy1 Dy 0.0000 0.0000 0.0000 1
Dy2 Dy 0.2500 0.2500 0.2500 1
Sc1 Sc 0.2500 0.2500 0.7500 1
In1 In 0.0000 0.0000 0.5000 1
# energy of formation: -0.113 eV/atom


# 11
# TeRhCl2 GGA-PBE relaxed
data_TeRhCl2
_symmetry_space_group_name_H-M 'P 4/m m m'
_symmetry_Int_Tables_number 123
_symmetry_space_group_name_Hall '-P 4 2'
_cell_length_a 4.2790
_cell_length_b 4.2790
_cell_length_c 4.4556
_cell_angle_alpha 90.00
_cell_angle_beta 90.00
_cell_angle_gamma 90.00
loop_
_atom_site_label
_atom_site_type_symbol
_atom_site_fract_x
_atom_site_fract_y
_atom_site_fract_z
_atom_site_occupancy
Te1 Te 0.0000 0.0000 0.0000 1
Rh1 Rh 0.5000 0.5000 0.0000 1
Cl1 Cl 0.0000 0.5000 0.5000 1
# raw formation energy: 2.3 eV per formula unit


# 12
# NaYSc2Cl GGA-PBE relaxed
data_NaYSc2Cl
_symmetry_space_group_name_H-M 'P 4/m m m'
_symmetry_Int_Tables_number 123
_symmetry_space_group_name_Hall '-P 4 2'
_cell_length_a 5.6203
_cell_length_b 5.6203
_cell_length_c 6.5471
_cell_angle_alpha 90.00
_cell_angle_beta 90.00
_cell_angle_gamma 90.00
loop_
_atom_site_label
_atom_site_type_symbol
_atom_site_fract_x
_atom_site_fract_y
_atom_site_fract_z
_atom_site_occupancy
Na1 Na 0.0000 0.0000 0.0000 1
Y1 Y 0.0000 0.0000 0.5000 1
Sc1 Sc 0.0000 0.5000 0.5000 1
Cl1 Cl 0.5000 0.5000 0.0000 1
# raw formation energy: 4.6 eV per formula unit


# 13
# CsK4Rb2Au GGA-PBE relaxed
data_CsK4Rb2Au
_symmetry_space_group_name_H-M 'P 1 2/m 1'
_symmetry_Int_Tables_number 10
_symmetry_space_group_name_Hall '-P 2y'
_cell_length_a 11.0812
_cell_length_b 4.8673
_cell_length_c 11.6604
_cell_angle_alpha 90.00
_cell_angle_beta 95.37
_cell_angle_gamma 90.00
loop_
_atom_site_label
_atom_site_type_symbol
_atom_site_fract_x
_atom_site_fract_y
_atom_site_fract_z
_atom_site_occupancy
Cs1 Cs 0.0000 0.0000 0.0000 1
K1 K 0.1498 0.0000 0.6459 1
K2 K 0.2022 0.5000 0.3092 1
Rb1 Rb 0.5000 0.0000 0.5000 1
Rb2 Rb 0.5000 0.5000 0.0000 1
Au1 Au 0.0000 0.5000 0.5000 1
# energy of formation: -0.021 eV/atom